Below is an optimized crystal structure of RbCuSe2N, with properties calculated at the GGA-PBE level.

a b c (Å): 6.1830 6.1830 5.2342
angles (deg): 90.00 90.00 90.00
Atoms (fractional coordinates):
Cu1 0.5000 0.5000 0.5000
Se1 0.0000 0.5000 0.0000
Se2 0.5000 0.0000 0.0000
Rb1 0.0000 0.0000 0.0000
N1 0.0000 0.0000 0.5000

Values from the calculation:
Formation energy from raw total energies (eV per atom): 1.88
Total DFT energy (no corrections) (eV/atom): -2.191
Distance to the lowest polymorph of the same formula (meV per atom): 1380

=====

Below is an optimized crystal structure of RbCuSe2N, with properties calculated at the GGA-PBE level.

a b c (Å): 5.8206 5.8206 3.4346
angles (deg): 90.00 90.00 90.00
Atoms (fractional coordinates):
Cu1 0.0000 0.0000 0.0000
Se1 0.0000 0.5000 0.0000
Se2 0.5000 0.0000 0.0000
Rb1 0.5000 0.5000 0.5000
N1 0.0000 0.0000 0.5000

Values from the calculation:
Formation energy from raw total energies (eV per atom): 0.50
Total DFT energy (no corrections) (eV/atom): -3.571
Distance to the lowest polymorph of the same formula (meV per atom): 0

=====

Below is an optimized crystal structure of RbCuSnN2, with properties calculated at the GGA-PBE level.

a b c (Å): 4.3070 4.8764 4.3070
angles (deg): 90.00 90.00 90.00
Atoms (fractional coordinates):
Cu1 0.0000 0.0000 0.0000
Sn1 0.5000 0.5000 0.5000
Rb1 0.0000 0.5000 0.0000
N1 0.0000 0.0000 0.5000
N2 0.5000 0.0000 0.0000

Values from the calculation:
Formation energy from raw total energies (eV per atom): 1.75
Total DFT energy (no corrections) (eV/atom): -3.389

=====

Below is an optimized crystal structure of Rb2TaCuN, with properties calculated at the GGA-PBE level.

a b c (Å): 7.0266 3.9415 7.0266
angles (deg): 90.00 90.00 90.00
Atoms (fractional coordinates):
N1 0.0000 0.5000 0.0000
Cu1 0.5000 0.5000 0.5000
Rb1 0.0000 0.0000 0.5000
Rb2 0.5000 0.0000 0.0000
Ta1 0.0000 0.0000 0.0000

Values from the calculation:
Formation energy from raw total energies (eV per atom): 0.77
Total DFT energy (no corrections) (eV/atom): -4.468

=====

Below is an optimized crystal structure of RbTiCu2N, with properties calculated at the GGA-PBE level.

a b c (Å): 4.9366 4.3862 4.9366
angles (deg): 90.00 90.00 90.00
Atoms (fractional coordinates):
N1 0.0000 0.5000 0.0000
Cu1 0.0000 0.0000 0.5000
Cu2 0.5000 0.0000 0.0000
Rb1 0.0000 0.0000 0.0000
Ti1 0.5000 0.5000 0.5000

Values from the calculation:
Formation energy from raw total energies (eV per atom): 2.33
Total DFT energy (no corrections) (eV/atom): -2.744

=====

Below is an optimized crystal structure of CuReN, with properties calculated at the GGA-PBE level.

a b c (Å): 2.8831 4.0434 5.9206
angles (deg): 90.00 90.00 90.00
Atoms (fractional coordinates):
Re1 0.5000 0.0000 0.6090
Re2 0.0000 0.5000 0.3910
N1 0.0000 0.0000 0.3420
N2 0.5000 0.5000 0.6580
Cu1 0.5000 0.5000 0.9923
Cu2 0.0000 0.0000 0.0077

Values from the calculation:
Formation energy from raw total energies (eV per atom): 0.30
Total DFT energy (no corrections) (eV/atom): -7.985

=====

Below is an optimized crystal structure of CuReN2, with properties calculated at the GGA-PBE level.

a b c (Å): 4.5824 4.5824 5.6392
angles (deg): 66.03 66.03 90.00
Atoms (fractional coordinates):
Re1 0.0000 0.0000 0.0000
Re2 0.7500 0.2500 0.5000
Cu1 0.5000 0.5000 0.0000
Cu2 0.2500 0.7500 0.5000
N1 0.6510 0.1250 0.2500
N2 0.0990 0.6250 0.2500
N3 0.3750 0.3490 0.7500
N4 0.8750 0.9010 0.7500

Values from the calculation:
Formation energy from raw total energies (eV per atom): 0.28
Total DFT energy (no corrections) (eV/atom): -8.018
Distance to the lowest polymorph of the same formula (meV per atom): 45

=====

Below is an optimized crystal structure of Cu2Re2N, with properties calculated at the GGA-PBE level.

a b c (Å): 5.4267 5.4267 4.4332
angles (deg): 90.00 90.00 90.00
Atoms (fractional coordinates):
Re1 0.3329 0.8329 0.0000
Re2 0.8329 0.6671 0.0000
Re3 0.6671 0.1671 0.0000
Re4 0.1671 0.3329 0.0000
Cu1 0.1554 0.6554 0.5000
Cu2 0.6554 0.8446 0.5000
Cu3 0.8446 0.3446 0.5000
Cu4 0.3446 0.1554 0.5000
N1 0.0000 0.0000 0.0000
N2 0.5000 0.5000 0.0000

Values from the calculation:
Formation energy from raw total energies (eV per atom): 0.33
Total DFT energy (no corrections) (eV/atom): -7.949

=====

Below is an optimized crystal structure of CuReN2, with properties calculated at the GGA-PBE level.

a b c (Å): 3.7363 3.7363 3.7363
angles (deg): 60.00 60.00 60.00
Atoms (fractional coordinates):
Re1 0.5000 0.5000 0.5000
Cu1 0.0000 0.0000 0.0000
N1 0.2500 0.2500 0.2500
N2 0.7500 0.7500 0.7500

Values from the calculation:
Formation energy from raw total energies (eV per atom): 1.13
Total DFT energy (no corrections) (eV/atom): -7.171
Distance to the lowest polymorph of the same formula (meV per atom): 892

=====

Below is an optimized crystal structure of Cu2ReN, with properties calculated at the GGA-PBE level.

a b c (Å): 6.9026 6.9026 5.2780
angles (deg): 49.16 49.16 90.00
Atoms (fractional coordinates):
Re1 0.0000 0.0000 0.0000
Re2 0.7500 0.2500 0.5000
Cu1 0.5443 0.1250 0.2500
Cu2 0.2057 0.6250 0.2500
Cu3 0.3750 0.4557 0.7500
Cu4 0.8750 0.7943 0.7500
N1 0.5000 0.5000 0.0000
N2 0.2500 0.7500 0.5000

Values from the calculation:
Formation energy from raw total energies (eV per atom): 0.69
Total DFT energy (no corrections) (eV/atom): -6.549

=====

Below is an optimized crystal structure of CuReN2, with properties calculated at the GGA-PBE level.

a b c (Å): 6.3036 6.3036 6.3036
angles (deg): 26.65 26.65 26.65
Atoms (fractional coordinates):
Re1 0.0000 0.0000 0.0000
Cu1 0.5000 0.5000 0.5000
N1 0.8968 0.8968 0.8968
N2 0.1032 0.1032 0.1032

Values from the calculation:
Formation energy from raw total energies (eV per atom): 0.85
Total DFT energy (no corrections) (eV/atom): -7.453
Distance to the lowest polymorph of the same formula (meV per atom): 611

=====

Below is an optimized crystal structure of CuReN2, with properties calculated at the GGA-PBE level.

a b c (Å): 6.4658 6.4658 6.4658
angles (deg): 25.60 25.60 25.60
Atoms (fractional coordinates):
Re1 0.5000 0.5000 0.5000
Cu1 0.0000 0.0000 0.0000
N1 0.9006 0.9006 0.9006
N2 0.0994 0.0994 0.0994

Values from the calculation:
Formation energy from raw total energies (eV per atom): 0.24
Total DFT energy (no corrections) (eV/atom): -8.063
Distance to the lowest polymorph of the same formula (meV per atom): 0